Entry from Alexandria via LeMat-Bulk: an optimized crystal structure of NpVO2 (PBE with a Hubbard U).

Cell: 6.498 6.498 6.498 Å, 29.71 29.71 29.71°
Sites, in units of the cell vectors:
Np (0.000, 0.000, 0.000)
V (0.500, 0.500, 0.500)
O (0.113, 0.113, 0.113)
O (0.887, 0.887, 0.887)

Summary:
magnetic moment: 1.5937 μB/atom
energy: -9.29 eV per atom
space-group type: R-3m